Density functional theory data (PBE) for an optimized crystal structure of Fe2NiRu.

E_form = 0.10 eV/atom

a = 2.598 Å, b = 3.600 Å, c = 5.144 Å
α = 90.00°, β = 90.00°, γ = 90.00°
Fractional coordinates of all 4 atoms:
Fe 0.000 0.000 0.243
Fe 0.000 0.000 0.757
Ni 0.500 0.500 0.000
Ru 0.500 0.500 0.500